No. 1
Entry from Alexandria: a relaxed structure of Np2NiGe4Pd3 (PBE).

Cell and atoms, written as CIF:
```
data_Np2NiGe4Pd3
_chemical_formula_sum 'Np2 Ni1 Ge4 Pd3'
_symmetry_space_group_name_H-M 'P -4 m 2'
_symmetry_Int_Tables_number 115
_cell_length_a 4.245
_cell_length_b 4.245
_cell_length_c 10.214
_cell_angle_alpha 90.00
_cell_angle_beta 90.00
_cell_angle_gamma 90.00
loop_
_symmetry_equiv_pos_as_xyz
'x,y,z'
'y,-x,-z'
'-x,-y,z'
'-y,x,-z'
'-x,y,z'
'-y,-x,-z'
'x,-y,z'
'y,x,-z'
loop_
_atom_site_label
_atom_site_type_symbol
_atom_site_fract_x
_atom_site_fract_y
_atom_site_fract_z
Np1 Np 0.000 0.500 0.244
Ni1 Ni 0.500 0.500 0.000
Ge1 Ge 0.000 0.000 0.500
Ge2 Ge 0.000 0.500 0.875
Ge3 Ge 0.500 0.500 0.500
Pd1 Pd 0.000 0.000 0.000
Pd2 Pd 0.000 0.500 0.635
```

Energy of formation (eV/atom): -0.37
N(E_F) (states/eV/cell): 23.4
Calculated total energy (eV/atom): -6.9445



No. 2
Entry from Alexandria: a relaxed structure of Np2Ni4Ge3Pt (PBE).

Cell and atoms, written as CIF:
```
data_Np2Ni4Ge3Pt
_chemical_formula_sum 'Np2 Ni4 Ge3 Pt1'
_symmetry_space_group_name_H-M 'P -4 m 2'
_symmetry_Int_Tables_number 115
_cell_length_a 3.859
_cell_length_b 3.859
_cell_length_c 10.861
_cell_angle_alpha 90.00
_cell_angle_beta 90.00
_cell_angle_gamma 90.00
loop_
_symmetry_equiv_pos_as_xyz
'x,y,z'
'y,-x,-z'
'-x,-y,z'
'-y,x,-z'
'-x,y,z'
'-y,-x,-z'
'x,-y,z'
'y,x,-z'
loop_
_atom_site_label
_atom_site_type_symbol
_atom_site_fract_x
_atom_site_fract_y
_atom_site_fract_z
Np1 Np 0.000 0.500 0.243
Ni1 Ni 0.000 0.000 0.500
Ni2 Ni 0.000 0.500 0.842
Ni3 Ni 0.500 0.500 0.500
Ge1 Ge 0.000 0.000 0.000
Ge2 Ge 0.000 0.500 0.626
Pt1 Pt 0.500 0.500 0.000
```

Energy of formation (eV/atom): -0.36
N(E_F) (states/eV/cell): 20.5
Calculated total energy (eV/atom): -7.2460



No. 3
Entry from Alexandria: a relaxed structure of NpNiGePt (PBE).

Cell and atoms, written as CIF:
```
data_NpNiGePt
_chemical_formula_sum 'Np4 Ni4 Ge4 Pt4'
_symmetry_space_group_name_H-M 'F -4 3 m'
_symmetry_Int_Tables_number 216
_symmetry_space_group_name_Hall 'F -4 2 3'
_cell_length_a 6.485
_cell_length_b 6.485
_cell_length_c 6.485
_cell_angle_alpha 90.00
_cell_angle_beta 90.00
_cell_angle_gamma 90.00
loop_
_atom_site_label
_atom_site_type_symbol
_atom_site_fract_x
_atom_site_fract_y
_atom_site_fract_z
Np1 Np 0.000 0.000 0.000
Ni1 Ni 0.250 0.250 0.750
Ge1 Ge 0.250 0.250 0.250
Pt1 Pt 0.000 0.000 0.500
```

Energy of formation (eV/atom): -0.14
N(E_F) (states/eV/cell): 37.5
Calculated total energy (eV/atom): -7.4844



No. 4
Entry from Alexandria: a relaxed structure of Np2NiGe4Pt3 (PBE).

Cell and atoms, written as CIF:
```
data_Np2NiGe4Pt3
_chemical_formula_sum 'Np2 Ni1 Ge4 Pt3'
_symmetry_space_group_name_H-M 'P -4 m 2'
_symmetry_Int_Tables_number 115
_cell_length_a 4.263
_cell_length_b 4.263
_cell_length_c 10.169
_cell_angle_alpha 90.00
_cell_angle_beta 90.00
_cell_angle_gamma 90.00
loop_
_symmetry_equiv_pos_as_xyz
'x,y,z'
'y,-x,-z'
'-x,-y,z'
'-y,x,-z'
'-x,y,z'
'-y,-x,-z'
'x,-y,z'
'y,x,-z'
loop_
_atom_site_label
_atom_site_type_symbol
_atom_site_fract_x
_atom_site_fract_y
_atom_site_fract_z
Np1 Np 0.000 0.500 0.244
Ni1 Ni 0.500 0.500 0.000
Ge1 Ge 0.000 0.000 0.500
Ge2 Ge 0.000 0.500 0.874
Ge3 Ge 0.500 0.500 0.500
Pt1 Pt 0.000 0.000 0.000
Pt2 Pt 0.000 0.500 0.632
```

Energy of formation (eV/atom): -0.49
N(E_F) (states/eV/cell): 23.0
Calculated total energy (eV/atom): -7.3120



No. 5
Entry from Alexandria: a relaxed structure of NpNiGe2Rh (PBE).

Cell and atoms, written as CIF:
```
data_NpNiGe2Rh
_chemical_formula_sum 'Np2 Ni2 Ge4 Rh2'
_symmetry_space_group_name_H-M 'I -4 m 2'
_symmetry_Int_Tables_number 119
_symmetry_space_group_name_Hall 'I -4 -2'
_cell_length_a 4.029
_cell_length_b 4.029
_cell_length_c 10.559
_cell_angle_alpha 90.00
_cell_angle_beta 90.00
_cell_angle_gamma 90.00
loop_
_atom_site_label
_atom_site_type_symbol
_atom_site_fract_x
_atom_site_fract_y
_atom_site_fract_z
Np1 Np 0.000 0.000 0.000
Ni1 Ni 0.000 0.500 0.750
Ge1 Ge 0.000 0.000 0.380
Rh1 Rh 0.000 0.500 0.250
```

Energy of formation (eV/atom): -0.41
N(E_F) (states/eV/cell): 21.3
Calculated total energy (eV/atom): -7.4707



No. 6
Entry from Alexandria: a relaxed structure of NpNiGe2Rh2 (PBE).

Cell and atoms, written as CIF:
```
data_NpNiGe2Rh2
_chemical_formula_sum 'Np1 Ni1 Ge2 Rh2'
_symmetry_space_group_name_H-M 'P 4/m m m'
_symmetry_Int_Tables_number 123
_symmetry_space_group_name_Hall '-P 4 2'
_cell_length_a 4.441
_cell_length_b 4.441
_cell_length_c 5.405
_cell_angle_alpha 90.00
_cell_angle_beta 90.00
_cell_angle_gamma 90.00
loop_
_atom_site_label
_atom_site_type_symbol
_atom_site_fract_x
_atom_site_fract_y
_atom_site_fract_z
Np1 Np 0.000 0.000 0.000
Ni1 Ni 0.000 0.000 0.500
Ge1 Ge 0.000 0.500 0.500
Rh1 Rh 0.500 0.500 0.241
```

Energy of formation (eV/atom): -0.06
N(E_F) (states/eV/cell): 11.9
Calculated total energy (eV/atom): -7.1650